Arrangement a

Computed, not measured: crystalline HfFeSnAu at its relaxed geometry at the GGA-PBE level of DFT.

crystal system	cubic

The structure in CIF format:
```
data_HfFeSnAu
_cell_length_a 6.552
_cell_length_b 6.552
_cell_length_c 6.552
_cell_angle_alpha 90.00
_cell_angle_beta 90.00
_cell_angle_gamma 90.00
_space_group_name_H-M_alt 'F -4 3 m'
_space_group_IT_number 216
_space_group_name_Hall 'F -4 2 3'
loop_
_atom_site_label
_atom_site_fract_x
_atom_site_fract_y
_atom_site_fract_z
Hf1 0.000 0.000 0.000
Fe1 0.250 0.250 0.750
Sn1 0.000 0.000 0.500
Au1 0.250 0.250 0.250
```



Arrangement b

Computed, not measured: crystalline HfFeSnAu at its relaxed geometry at the GGA-PBE level of DFT.

crystal system	cubic

The structure in CIF format:
```
data_HfFeSnAu
_cell_length_a 6.558
_cell_length_b 6.558
_cell_length_c 6.558
_cell_angle_alpha 90.00
_cell_angle_beta 90.00
_cell_angle_gamma 90.00
_space_group_name_H-M_alt 'F -4 3 m'
_space_group_IT_number 216
_space_group_name_Hall 'F -4 2 3'
loop_
_atom_site_label
_atom_site_fract_x
_atom_site_fract_y
_atom_site_fract_z
Hf1 0.000 0.000 0.000
Fe1 0.000 0.000 0.500
Sn1 0.250 0.250 0.250
Au1 0.250 0.250 0.750
```



Stability, highest: arrangement a